[1]
First-principles (PBE-GGA) data for La2BeCdPd6 after structural relaxation, as listed in Alexandria via LeMat-Bulk.

## Properties
density = 8.3 g/cm³
E_tot = -5.0173 eV/atom
energy of formation = -452 meV/atom

Unit cell a=6.6431 b=6.6431 c=6.6431 alpha=60.00 beta=60.00 gamma=60.00
Last column: nearest neighbours and their distance in Å.
Atoms (fractional coordinates):
La: 0.2500 0.2500 0.2500  12 Pd 3.33
La: 0.7500 0.7500 0.7500  12 Pd 3.33
Be: 0.0000 0.0000 0.0000  6 Pd 2.12
Cd: 0.5000 0.5000 0.5000  6 Pd 2.58
Pd: 0.2252 0.2252 0.7748  1 Be 2.12
Pd: 0.2252 0.7748 0.2252  1 Be 2.12
Pd: 0.2252 0.7748 0.7748  1 Be 2.12
Pd: 0.7748 0.2252 0.2252  1 Be 2.12
Pd: 0.7748 0.2252 0.7748  1 Be 2.12
Pd: 0.7748 0.7748 0.2252  1 Be 2.12

***

[2]
First-principles (PBE-GGA) data for La2BeCdPt6 after structural relaxation, as listed in Alexandria via LeMat-Bulk.

## Properties
density = 12.8 g/cm³
E_tot = -5.8251 eV/atom
energy of formation = -751 meV/atom

Unit cell a=7.8256 b=7.8256 c=7.8256 alpha=43.28 beta=43.28 gamma=43.28
Last column: nearest neighbours and their distance in Å.
Atoms (fractional coordinates):
La: 0.2281 0.2281 0.2281  6 Pt 3.03
La: 0.7719 0.7719 0.7719  6 Pt 3.03
Be: 0.0000 0.0000 0.0000  6 Pt 2.18
Cd: 0.5000 0.5000 0.5000  6 Pt 2.73
Pt: 0.2354 0.2354 0.7168  1 Be 2.18
Pt: 0.2354 0.7168 0.2354  1 Be 2.18
Pt: 0.2832 0.7646 0.7646  1 Be 2.18
Pt: 0.7168 0.2354 0.2354  1 Be 2.18
Pt: 0.7646 0.2832 0.7646  1 Be 2.18
Pt: 0.7646 0.7646 0.2832  1 Be 2.18

***

[3]
First-principles (PBE-GGA) data for La2BeCd2Pt4 after structural relaxation, as listed in Alexandria via LeMat-Bulk.

## Properties
density = 11.7 g/cm³
E_tot = -5.1182 eV/atom
energy of formation = -721 meV/atom

Unit cell a=6.2304 b=6.2304 c=6.2304 alpha=114.14 beta=114.14 gamma=100.50
Last column: nearest neighbours and their distance in Å.
Atoms (fractional coordinates):
La: 0.2500 0.7500 0.5000  8 Pt 3.12, 4 Cd 3.43
La: 0.7500 0.2500 0.5000  8 Pt 3.12, 4 Cd 3.43
Be: 0.0000 0.0000 0.0000  4 Pt 2.25
Cd: 0.3171 0.3171 0.0000  1 Be 2.53
Cd: 0.6829 0.6829 0.0000  1 Be 2.53
Pt: 0.2351 0.2351 0.4702  1 Be 2.25
Pt: 0.2351 0.7649 0.0000  1 Be 2.25
Pt: 0.7649 0.2351 0.0000  1 Be 2.25
Pt: 0.7649 0.7649 0.5298  1 Be 2.25

***

[4]
First-principles (PBE-GGA) data for LaBeCdTc2 after structural relaxation, as listed in Alexandria via LeMat-Bulk.

## Properties
density = 6.9 g/cm³
E_tot = -4.8238 eV/atom
energy of formation = 1236 meV/atom

Unit cell a=5.0601 b=5.0601 c=4.2769 alpha=90.00 beta=90.00 gamma=90.00
Last column: nearest neighbours and their distance in Å.
Atoms (fractional coordinates):
La: 0.0000 0.0000 0.0000  8 Tc 3.31, 4 Be 3.58
Be: 0.5000 0.5000 0.0000  2 Cd 2.14
Cd: 0.5000 0.5000 0.5000  2 Be 2.14
Tc: 0.0000 0.5000 0.5000  2 Cd 2.53
Tc: 0.5000 0.0000 0.5000  2 Cd 2.53